! SiPIr2 | Alexandria | PBE | relaxed; values from VASP
! N(E_F) in states/eV per cell: 4.9
! Size of the total moment in μB/f.u.: 0.000
! Electronic total energy in eV/atom: -6.691
! E_form (uncorrected) in kJ/mol of atoms: 43.2
&SYSTEM
  ibrav = 0, nat = 4, ntyp = 3
/
ATOMIC_SPECIES
Si 28.09 Si.upf
Ir 192.22 Ir.upf
P 30.97 P.upf
ATOMIC_POSITIONS angstrom
Si -3.115 3.231 6.605
Ir 0.000 0.000 0.000
Ir -1.038 1.077 2.202
P -2.077 2.154 4.403
CELL_PARAMETERS angstrom
-2.553 3.164 1.539
-2.527 -0.736 3.459
0.926 1.881 3.808